DFT (PBE) results for a relaxed TbSn6Rh5 crystal.

Cell and atoms, written as POSCAR:
```
TbSn6Rh5
1.0
7.553 -0.114 0.000
2.070 5.439 0.000
1.035 2.719 5.814
Tb Sn Rh
1 6 5
Direct
0.000 0.000 0.000
0.701 0.096 0.384
0.299 0.520 0.384
0.219 0.344 0.000
0.781 0.656 0.000
0.701 0.480 0.616
0.299 0.904 0.616
0.500 0.120 0.760
0.000 0.307 0.386
0.500 0.500 0.000
0.000 0.693 0.614
0.500 0.880 0.240
```

Summary:
**DOS at the Fermi energy**: 0.466 states/eV/atom
**Volume**: 240.2 Å³ per cell
**Final energy**: -0.4292 Ry per atom
**Energy relative to the elements**: -389 meV per atom
**Density**: 9.58 g/cm3



DFT (PBE) results for a relaxed TaCoReSb2 crystal.

Cell and atoms, written as POSCAR:
```
TaCoReSb2
1.0
-0.968 3.013 3.964
-4.183 0.494 -1.396
-1.389 -4.042 2.732
Re Co Sb Ta
1 1 2 1
Direct
0.000 0.000 0.000
0.000 0.500 0.000
0.000 0.000 0.500
0.500 0.000 0.000
0.500 0.500 0.500
```

Summary:
**DOS at the Fermi energy**: 1.446 states/eV/atom
**Volume**: 114.2 Å³ per cell
**Formation energy without anion corrections**: 1487 meV per atom
**Final energy**: -0.4736 Ry per atom
**Density**: 9.74 g/cm3



DFT (PBE) results for a relaxed PuUPC crystal.

Cell and atoms, written as POSCAR:
```
PuUPC
1.0
3.742 0.000 0.000
0.000 3.742 0.000
0.000 0.000 5.412
Pu U P C
1 1 1 1
Direct
0.000 0.000 0.500
0.500 0.500 0.000
0.500 0.500 0.500
0.000 0.000 0.000
```

Summary:
**DOS at the Fermi energy**: 2.571 states/eV/atom
**Volume**: 75.8 Å³ per cell
**Final energy**: -0.7630 Ry per atom
**Energy relative to the elements**: -318 meV per atom
**Density**: 11.50 g/cm3



DFT (PBE) results for a relaxed CaNbSe2 crystal.

Cell and atoms, written as POSCAR:
```
CaNbSe2
1.0
-3.344 -7.378 4.656
-4.341 -8.177 1.263
-0.993 -8.974 2.403
Nb Ca Se
1 1 2
Direct
0.500 0.500 0.500
0.000 0.000 0.000
0.893 0.893 0.893
0.107 0.107 0.107
```

Summary:
**DOS at the Fermi energy**: 0.725 states/eV/atom
**Volume**: 103.7 Å³ per cell
**Formation energy without anion corrections**: -704 meV per atom
**Final energy**: -0.4016 Ry per atom
**Density**: 4.66 g/cm3



Repeat the third record exactly.
DFT (PBE) results for a relaxed PuUPC crystal.

Cell and atoms, written as POSCAR:
```
PuUPC
1.0
3.742 0.000 0.000
0.000 3.742 0.000
0.000 0.000 5.412
Pu U P C
1 1 1 1
Direct
0.000 0.000 0.500
0.500 0.500 0.000
0.500 0.500 0.500
0.000 0.000 0.000
```

Summary:
**DOS at the Fermi energy**: 2.571 states/eV/atom
**Volume**: 75.8 Å³ per cell
**Final energy**: -0.7630 Ry per atom
**Energy relative to the elements**: -318 meV per atom
**Density**: 11.50 g/cm3